(1)
The following is a PBE calculation of crystalline CdAg3Hg at its relaxed geometry, from the Alexandria database.

Properties
SG: No. 11
Offset from the most stable computed form in eV/f.u.: 0.07

a = 4.922 Å, b = 6.020 Å, c = 7.141 Å
α = 90.00°, β = 109.86°, γ = 90.00°
Atoms (fractional coordinates):
Cd 0.118 0.250 0.239
Cd 0.882 0.750 0.761
Ag 0.314 0.501 0.628
Ag 0.314 0.999 0.628
Ag 0.500 0.250 0.002
Ag 0.500 0.750 0.998
Ag 0.686 0.001 0.372
Ag 0.686 0.499 0.372
Hg 0.117 0.750 0.234
Hg 0.883 0.250 0.766

(2)
The following is a PBE calculation of crystalline Cd6Ag3Hg at its relaxed geometry, from the Alexandria database.

Properties
SG: No. 11
Offset from the most stable computed form in eV/f.u.: 0.00

a = 8.415 Å, b = 4.903 Å, c = 10.738 Å
α = 90.00°, β = 111.65°, γ = 90.00°
Atoms (fractional coordinates):
Cd 0.007 0.250 0.170
Cd 0.014 0.250 0.670
Cd 0.198 0.250 0.477
Cd 0.198 0.750 0.126
Cd 0.396 0.750 0.933
Cd 0.416 0.250 0.260
Cd 0.584 0.750 0.740
Cd 0.604 0.250 0.067
Cd 0.802 0.250 0.874
Cd 0.802 0.750 0.523
Cd 0.986 0.750 0.330
Cd 0.993 0.750 0.830
Ag 0.199 0.250 0.965
Ag 0.200 0.750 0.638
Ag 0.396 0.250 0.773
Ag 0.604 0.750 0.227
Ag 0.800 0.250 0.362
Ag 0.801 0.750 0.035
Hg 0.389 0.750 0.428
Hg 0.611 0.250 0.572

(3)
The following is a PBE calculation of crystalline Ho4CdAg2Hg at its relaxed geometry, from the Alexandria database.

Properties
Energy in eV per atom: -3.5136
SG: No. 166

a = 8.979 Å, b = 8.979 Å, c = 8.979 Å
α = 33.59°, β = 33.59°, γ = 33.59°
Atoms (fractional coordinates):
Ho 0.124 0.124 0.124
Ho 0.374 0.374 0.374
Ho 0.626 0.626 0.626
Ho 0.876 0.876 0.876
Cd 0.500 0.500 0.500
Ag 0.247 0.247 0.247
Ag 0.753 0.753 0.753
Hg 0.000 0.000 0.000